*P*
The following is a DFT calculation (PBE) of SiSnTe2I after structural relaxation. Values from VASP.

The structure in Quantum ESPRESSO input format:
```
&SYSTEM
  ibrav = 0, nat = 5, ntyp = 4
/
ATOMIC_SPECIES
I 126.90 I.upf
Si 28.09 Si.upf
Te 127.60 Te.upf
Sn 118.71 Sn.upf
CELL_PARAMETERS angstrom
5.360 0.000 0.000
0.000 5.360 0.000
0.000 0.000 5.514
ATOMIC_POSITIONS crystal
I 0.000 0.000 0.500
Si 0.000 0.000 0.000
Te 0.000 0.500 0.000
Te 0.500 0.000 0.000
Sn 0.500 0.500 0.500
```

***

*Q*
The following is a DFT calculation (PBE) of SiSnTe2I after structural relaxation. Values from VASP.

The structure in Quantum ESPRESSO input format:
```
&SYSTEM
  ibrav = 0, nat = 5, ntyp = 4
/
ATOMIC_SPECIES
I 126.90 I.upf
Si 28.09 Si.upf
Te 127.60 Te.upf
Sn 118.71 Sn.upf
CELL_PARAMETERS angstrom
-3.801 -4.099 -1.302
3.956 -4.014 1.087
-1.702 -0.179 5.535
ATOMIC_POSITIONS crystal
I 0.000 0.000 0.500
Si 0.500 0.500 0.500
Te 0.000 0.500 0.000
Te 0.500 0.000 0.000
Sn 0.000 0.000 0.000
```

***

*P* (48.0 kJ/mol of atoms below the next structure)

***

*P*
The following is a DFT calculation (PBE) of SrSi3I after structural relaxation. Values from VASP.

The structure in Quantum ESPRESSO input format:
```
&SYSTEM
  ibrav = 0, nat = 5, ntyp = 3
/
ATOMIC_SPECIES
I 126.90 I.upf
Sr 87.62 Sr.upf
Si 28.09 Si.upf
CELL_PARAMETERS angstrom
5.366 0.000 0.000
0.000 5.366 0.000
0.000 0.000 5.366
ATOMIC_POSITIONS crystal
I 0.000 0.000 0.000
Sr 0.500 0.500 0.500
Si 0.000 0.500 0.000
Si 0.000 0.000 0.500
Si 0.500 0.000 0.000
```

***

*Q*
The following is a DFT calculation (PBE) of SrSi3I after structural relaxation. Values from VASP.

The structure in Quantum ESPRESSO input format:
```
&SYSTEM
  ibrav = 0, nat = 5, ntyp = 3
/
ATOMIC_SPECIES
I 126.90 I.upf
Sr 87.62 Sr.upf
Si 28.09 Si.upf
CELL_PARAMETERS angstrom
-2.577 5.004 1.563
0.776 -1.358 5.628
5.185 2.690 -0.066
ATOMIC_POSITIONS crystal
I 0.500 0.500 0.500
Sr 0.000 0.000 0.000
Si 0.000 0.500 0.000
Si 0.000 0.000 0.500
Si 0.500 0.000 0.000
```

***

*P* (61.3 kJ/mol of atoms below the next structure)

***

*P*
The following is a DFT calculation (PBE) of SrSiTeI2 after structural relaxation. Values from VASP.

The structure in Quantum ESPRESSO input format:
```
&SYSTEM
  ibrav = 0, nat = 5, ntyp = 4
/
ATOMIC_SPECIES
I 126.90 I.upf
Sr 87.62 Sr.upf
Si 28.09 Si.upf
Te 127.60 Te.upf
CELL_PARAMETERS angstrom
-4.246 3.306 -2.938
-4.294 -2.106 3.835
1.123 5.001 4.004
ATOMIC_POSITIONS crystal
I 0.000 0.500 0.000
I 0.500 0.000 0.000
Sr 0.000 0.000 0.000
Si 0.500 0.500 0.500
Te 0.000 0.000 0.500
```

***

*Q*
The following is a DFT calculation (PBE) of SrSiTeI2 after structural relaxation. Values from VASP.

The structure in Quantum ESPRESSO input format:
```
&SYSTEM
  ibrav = 0, nat = 5, ntyp = 4
/
ATOMIC_SPECIES
I 126.90 I.upf
Sr 87.62 Sr.upf
Si 28.09 Si.upf
Te 127.60 Te.upf
CELL_PARAMETERS angstrom
5.565 0.000 0.000
0.000 5.565 0.000
0.000 0.000 5.693
ATOMIC_POSITIONS crystal
I 0.000 0.500 0.000
I 0.500 0.000 0.000
Sr 0.500 0.500 0.500
Si 0.000 0.000 0.000
Te 0.000 0.000 0.500
```

***

*Q* (64.3 kJ/mol of atoms below the next structure)

***

*P*
The following is a DFT calculation (PBE) of TaSi2I after structural relaxation. Values from VASP.

The structure in Quantum ESPRESSO input format:
```
&SYSTEM
  ibrav = 0, nat = 4, ntyp = 3
/
ATOMIC_SPECIES
I 126.90 I.upf
Si 28.09 Si.upf
Ta 180.95 Ta.upf
CELL_PARAMETERS angstrom
0.000 3.336 3.336
3.336 0.000 3.336
3.336 3.336 0.000
ATOMIC_POSITIONS crystal
I 0.000 0.000 0.000
Si 0.250 0.250 0.250
Si 0.750 0.750 0.750
Ta 0.500 0.500 0.500
```

***

*Q*
The following is a DFT calculation (PBE) of TaSi2I after structural relaxation. Values from VASP.

The structure in Quantum ESPRESSO input format:
```
&SYSTEM
  ibrav = 0, nat = 8, ntyp = 3
/
ATOMIC_SPECIES
I 126.90 I.upf
Si 28.09 Si.upf
Ta 180.95 Ta.upf
CELL_PARAMETERS angstrom
-4.114 1.681 -4.489
-4.750 -0.638 4.115
-3.815 6.348 1.429
ATOMIC_POSITIONS crystal
I 0.500 0.500 0.000
I 0.250 0.750 0.500
Si 0.690 0.125 0.250
Si 0.060 0.625 0.250
Si 0.375 0.310 0.750
Si 0.875 0.940 0.750
Ta 0.000 0.000 0.000
Ta 0.750 0.250 0.500
```

***

*Q* (1.5 kJ/mol of atoms below the next structure)

***

*P*
The following is a DFT calculation (PBE) of Ta2SiI after structural relaxation. Values from VASP.

The structure in Quantum ESPRESSO input format:
```
&SYSTEM
  ibrav = 0, nat = 8, ntyp = 3
/
ATOMIC_SPECIES
I 126.90 I.upf
Si 28.09 Si.upf
Ta 180.95 Ta.upf
CELL_PARAMETERS angstrom
4.188 0.000 0.000
0.000 4.188 0.000
2.094 2.094 9.338
ATOMIC_POSITIONS crystal
I 0.000 0.000 0.000
I 0.750 0.250 0.500
Si 0.500 0.500 0.000
Si 0.250 0.750 0.500
Ta 0.606 0.125 0.250
Ta 0.144 0.625 0.250
Ta 0.375 0.394 0.750
Ta 0.875 0.856 0.750
```

***

*Q*
The following is a DFT calculation (PBE) of Ta2SiI after structural relaxation. Values from VASP.

The structure in Quantum ESPRESSO input format:
```
&SYSTEM
  ibrav = 0, nat = 4, ntyp = 3
/
ATOMIC_SPECIES
I 126.90 I.upf
Si 28.09 Si.upf
Ta 180.95 Ta.upf
CELL_PARAMETERS angstrom
0.000 3.305 3.305
3.305 0.000 3.305
3.305 3.305 0.000
ATOMIC_POSITIONS crystal
I 0.500 0.500 0.500
Si 0.000 0.000 0.000
Ta 0.250 0.250 0.250
Ta 0.750 0.750 0.750
```

***

*Q* (34.7 kJ/mol of atoms below the next structure)

***

*P*
The following is a DFT calculation (PBE) of TaSiTe2I after structural relaxation. Values from VASP.

The structure in Quantum ESPRESSO input format:
```
&SYSTEM
  ibrav = 0, nat = 5, ntyp = 4
/
ATOMIC_SPECIES
I 126.90 I.upf
Si 28.09 Si.upf
Te 127.60 Te.upf
Ta 180.95 Ta.upf
CELL_PARAMETERS angstrom
-2.055 4.606 1.354
0.503 -1.258 5.044
4.773 2.114 0.052
ATOMIC_POSITIONS crystal
I 0.000 0.000 0.500
Si 0.000 0.000 0.000
Te 0.000 0.500 0.000
Te 0.500 0.000 0.000
Ta 0.500 0.500 0.500
```

***

*Q*
The following is a DFT calculation (PBE) of TaSiTe2I after structural relaxation. Values from VASP.

The structure in Quantum ESPRESSO input format:
```
&SYSTEM
  ibrav = 0, nat = 5, ntyp = 4
/
ATOMIC_SPECIES
I 126.90 I.upf
Si 28.09 Si.upf
Te 127.60 Te.upf
Ta 180.95 Ta.upf
CELL_PARAMETERS angstrom
5.419 0.000 0.000
0.000 5.419 0.000
0.000 0.000 5.543
ATOMIC_POSITIONS crystal
I 0.000 0.000 0.500
Si 0.500 0.500 0.500
Te 0.000 0.500 0.000
Te 0.500 0.000 0.000
Ta 0.000 0.000 0.000
```

***

*Q* (40.0 kJ/mol of atoms below the next structure)